Record 1
Below is Zr5Fe4Rh after structural relaxation, with properties calculated at the PBE level. Values from VASP.

```
&SYSTEM
  ibrav = 0, nat = 10, ntyp = 3
/
ATOMIC_SPECIES
Zr 91.22 Zr.upf
Fe 55.84 Fe.upf
Rh 102.91 Rh.upf
ATOMIC_POSITIONS angstrom
Zr 0.000 0.000 0.000
Zr 0.000 0.000 3.158
Zr 0.000 0.000 6.311
Zr 0.000 0.000 9.747
Zr 0.000 0.000 12.900
Fe 1.601 1.601 1.586
Fe 1.601 1.601 4.789
Fe 1.601 1.601 11.269
Fe 1.601 1.601 14.472
Rh 1.601 1.601 8.029
CELL_PARAMETERS angstrom
3.201 0.000 0.000
0.000 3.201 0.000
0.000 0.000 16.058
```

## Properties
* energy relative to the elements: -0.304 eV per atom

Record 2
Below is KSnCl2 after structural relaxation, with properties calculated at the PBE level. Values from VASP.

```
&SYSTEM
  ibrav = 0, nat = 4, ntyp = 3
/
ATOMIC_SPECIES
K 39.10 K.upf
Sn 118.71 Sn.upf
Cl 35.45 Cl.upf
ATOMIC_POSITIONS angstrom
K 0.000 0.000 0.000
Sn 3.809 3.809 3.809
Cl 1.904 1.904 1.904
Cl 5.713 5.713 5.713
CELL_PARAMETERS angstrom
0.000 3.809 3.809
3.809 0.000 3.809
3.809 3.809 0.000
```

## Properties
* ΔE_f (raw): -0.885 eV/atom

Record 3
Below is La8Pr2Ho after structural relaxation, with properties calculated at the PBE level. Values from VASP.

```
&SYSTEM
  ibrav = 0, nat = 11, ntyp = 3
/
ATOMIC_SPECIES
La 138.91 La.upf
Pr 140.91 Pr.upf
Ho 164.93 Ho.upf
ATOMIC_POSITIONS angstrom
La -0.344 1.987 3.463
La 4.657 5.025 0.000
La -0.344 -1.987 3.463
La 3.221 0.000 1.018
La 2.678 0.000 4.055
La 6.243 1.987 1.610
La 4.657 -5.025 0.000
La 6.243 -1.987 1.610
Pr 2.950 3.248 2.536
Pr 2.950 -3.248 2.536
Ho 0.000 0.000 0.000
CELL_PARAMETERS angstrom
4.657 -8.501 0.000
4.657 8.501 0.000
-3.415 0.000 5.073
```

## Properties
* energy relative to the elements: 0.119 eV per atom

Record 4
Below is Tl2AgMo after structural relaxation, with properties calculated at the PBE level. Values from VASP.

```
&SYSTEM
  ibrav = 0, nat = 4, ntyp = 3
/
ATOMIC_SPECIES
Tl 204.38 Tl.upf
Ag 107.87 Ag.upf
Mo 95.94 Mo.upf
ATOMIC_POSITIONS angstrom
Tl 0.000 0.000 0.000
Tl 1.782 1.782 1.782
Ag 3.564 3.564 3.564
Mo 5.347 5.347 5.347
CELL_PARAMETERS angstrom
0.000 3.564 3.564
3.564 0.000 3.564
3.564 3.564 0.000
```

## Properties
* energy relative to the elements: 0.834 eV per atom

Record 5
Below is Be3Cu4 after structural relaxation, with properties calculated at the PBE level. Values from VASP.

```
&SYSTEM
  ibrav = 0, nat = 7, ntyp = 2
/
ATOMIC_SPECIES
Be 9.01 Be.upf
Cu 63.55 Cu.upf
ATOMIC_POSITIONS angstrom
Be -1.066 1.846 0.000
Be 2.131 0.000 0.000
Be 1.066 1.846 0.000
Cu 0.000 0.000 1.142
Cu 0.000 0.000 3.418
Cu 0.000 2.461 2.280
Cu 2.131 1.231 2.280
CELL_PARAMETERS angstrom
4.263 0.000 0.000
-2.131 3.692 0.000
0.000 0.000 4.560
```

## Properties
* energy relative to the elements: -0.015 eV per atom

Record 6
Below is YNpPN5 after structural relaxation, with properties calculated at the PBE level. Values from VASP.

```
&SYSTEM
  ibrav = 0, nat = 16, ntyp = 4
/
ATOMIC_SPECIES
Y 88.91 Y.upf
Np 237.00 Np.upf
P 30.97 P.upf
N 14.01 N.upf
ATOMIC_POSITIONS angstrom
Y 1.266 3.084 5.062
Y 2.682 -3.084 1.687
Np 3.391 0.000 0.000
Np 1.974 0.000 3.375
P 2.682 2.951 1.687
P 1.266 -2.951 5.062
N -1.360 0.561 6.085
N 1.624 2.031 2.569
N 0.056 -0.561 2.711
N 3.741 2.031 0.806
N 1.266 0.797 5.062
N 2.682 -0.797 1.687
N 0.207 -2.031 5.944
N 3.892 0.561 4.039
N 2.324 -2.031 4.180
N 5.308 -0.561 0.664
CELL_PARAMETERS angstrom
3.391 -4.583 0.000
3.391 4.583 0.000
-2.833 0.000 6.749
```

## Properties
* ΔE_f (raw): -0.850 eV/atom

Record 7
Below is ErB2Pd8 after structural relaxation, with properties calculated at the PBE level. Values from VASP.

```
&SYSTEM
  ibrav = 0, nat = 11, ntyp = 3
/
ATOMIC_SPECIES
Er 167.26 Er.upf
B 10.81 B.upf
Pd 106.42 Pd.upf
ATOMIC_POSITIONS angstrom
Er 0.000 0.000 0.000
B 3.243 1.817 2.053
B 3.243 -1.817 2.053
Pd 0.890 1.443 2.396
Pd 3.713 2.501 0.000
Pd 0.890 -1.443 2.396
Pd 2.704 0.000 0.853
Pd 3.782 0.000 3.254
Pd 5.596 1.443 1.711
Pd 3.713 -2.501 0.000
Pd 5.596 -1.443 1.711
CELL_PARAMETERS angstrom
3.713 -5.300 0.000
3.713 5.300 0.000
-0.940 0.000 4.107
```

## Properties
* energy relative to the elements: -0.372 eV per atom

Record 8
Below is NpAsHRu after structural relaxation, with properties calculated at the PBE level. Values from VASP.

```
&SYSTEM
  ibrav = 0, nat = 8, ntyp = 4
/
ATOMIC_SPECIES
Np 237.00 Np.upf
As 74.92 As.upf
H 1.01 H.upf
Ru 101.07 Ru.upf
ATOMIC_POSITIONS angstrom
Np 1.024 1.024 1.063
Np 3.073 3.073 5.972
As 1.024 1.024 4.912
As 3.073 3.073 2.124
H 1.024 3.073 0.000
H 3.073 1.024 0.000
Ru 1.024 3.073 3.518
Ru 3.073 1.024 3.518
CELL_PARAMETERS angstrom
4.097 0.000 0.000
0.000 4.097 0.000
0.000 0.000 7.036
```

## Properties
* total DFT energy (no corrections): -7.998 eV per atom

Record 9
Below is Pa2CoIr after structural relaxation, with properties calculated at the PBE level. Values from VASP.

```
&SYSTEM
  ibrav = 0, nat = 4, ntyp = 3
/
ATOMIC_SPECIES
Pa 231.04 Pa.upf
Co 58.93 Co.upf
Ir 192.22 Ir.upf
ATOMIC_POSITIONS angstrom
Pa 0.000 0.000 2.385
Pa 0.000 0.000 26.312
Co 0.000 0.000 0.000
Ir 0.000 0.000 14.348
CELL_PARAMETERS angstrom
1.525 0.880 9.566
-1.525 0.880 9.566
0.000 -1.761 9.566
```

## Properties
* energy relative to the elements: 0.130 eV per atom

Record 10
Below is DyHg3 after structural relaxation, with properties calculated at the PBE level. Values from VASP.

```
&SYSTEM
  ibrav = 0, nat = 8, ntyp = 2
/
ATOMIC_SPECIES
Dy 162.50 Dy.upf
Hg 200.59 Hg.upf
ATOMIC_POSITIONS angstrom
Dy 0.000 3.834 1.256
Dy 3.320 1.917 3.769
Hg 0.000 1.911 3.769
Hg -1.665 4.795 3.769
Hg 1.655 0.956 1.256
Hg 1.665 4.795 3.769
Hg 4.985 0.956 1.256
Hg 3.320 3.839 1.256
CELL_PARAMETERS angstrom
6.640 0.000 0.000
-3.320 5.750 0.000
0.000 0.000 5.026
```

## Properties
* energy relative to the elements: -0.344 eV per atom

no.,spin magnetization (μB/f.u.)
1,1.40
2,0.00
3,0.00
4,3.51
5,0.00
6,0.06
7,0.00
8,3.80
9,0.17
10,0.00